(1)
An optimized crystal structure of As2PdAuCl, computed with GGA-PBE.

Unit cell a=4.896 b=4.794 c=4.896 alpha=90.00 beta=90.00 gamma=90.00
Sites, in units of the cell vectors:
1 As 0.000 0.000 0.500
2 Cl 0.000 0.500 0.000
3 Pd 0.000 0.000 0.000
4 As 0.500 0.000 0.000
5 Au 0.500 0.500 0.500

Properties
The space group is P4/mmm, No. 123. For the total magnetization, the calculation gives 0.0 μB/f.u. The calculation puts the volume at 115 Å³/cell. As for the density of states at the Fermi level: 3.993 states/eV per cell.

(2)
An optimized crystal structure of As2PdAuCl, computed with GGA-PBE.

Unit cell a=4.903 b=5.354 c=4.903 alpha=90.00 beta=90.00 gamma=90.00
Sites, in units of the cell vectors:
1 As 0.500 0.000 0.000
2 Au 0.000 0.000 0.000
3 Pd 0.000 0.500 0.000
4 Cl 0.500 0.500 0.500
5 As 0.000 0.000 0.500

Properties
The space group is P4/mmm, No. 123. For the total magnetization, the calculation gives 0.0 μB/f.u. The calculation puts the volume at 129 Å³/cell. As for the density of states at the Fermi level: 7.266 states/eV per cell.

Stability ranking, top entry: (1); the second entry is 0.297 eV/atom less favorable.